# SiTeIr2, relaxed, DFT PBE
data_SiTeIr2
_chemical_formula_sum 'Si2 Te2 Ir4'
_space_group_name_H-M_alt 'I m m 2'
_space_group_IT_number 44
_space_group_name_Hall 'I 2 -2'
_cell_length_a 3.0455
_cell_length_b 3.5442
_cell_length_c 13.1823
_cell_angle_alpha 90.00
_cell_angle_beta 90.00
_cell_angle_gamma 90.00
loop_
_atom_site_label
_atom_site_type_symbol
_atom_site_fract_x
_atom_site_fract_y
_atom_site_fract_z
Si1 Si 0.0000 0.0000 0.0000
Te1 Te 0.0000 0.5000 0.7478
Ir1 Ir 0.0000 0.0000 0.4362
Ir2 Ir 0.0000 0.5000 0.1245
# Energy relative to the elements, uncorrected ... -0.05 eV/atom
# Fermi-level density of states ... 0.60 states/eV per atom
# Final energy ... -6.623 eV/atom
# ΔE to the lowest computed polymorph ... 0.61 eV/f.u.